1.
## SrCaHg2 (meta-GGA SCAN)

Data for a crystal of SrCaHg2 relaxed with PBEsol.

Cell: 3.814 3.814 7.628 Å, 90.00 90.00 90.00°
Space group P4/mmm (No. 123)
Unique sites:
1 Sr 0.000 0.000 0.000 x1
2 Ca 0.000 0.000 0.500 x1
3 Hg 0.500 0.500 0.268 x2

## Properties
For the calculated total energy, the calculation gives -171.094 eV for the cell shown. The density of states at the Fermi level is 0.54 states/eV/atom. The energy of formation comes out at -0.71 eV per atom. Its excess energy over the best structure of this formula in the dataset is 0.000 eV/atom.


2.
## SrCa2Hg2 (meta-GGA SCAN)

Data for a crystal of SrCa2Hg2 relaxed with PBEsol.

Cell: 4.921 4.921 13.360 Å, 90.00 90.00 90.00°
Space group I4/mmm (No. 139)
Unique sites:
1 Sr 0.000 0.000 0.000 x2
2 Ca 0.000 0.500 0.250 x4
3 Hg 0.000 0.000 0.394 x4

## Properties
For the calculated total energy, the calculation gives -360.966 eV for the cell shown. The density of states at the Fermi level is 0.78 states/eV/atom. The energy of formation comes out at -0.51 eV per atom. Its excess energy over the best structure of this formula in the dataset is 0.040 eV/atom.


3.
## SrCa2Hg2 (meta-GGA SCAN)

Data for a crystal of SrCa2Hg2 relaxed with PBEsol.

Cell: 8.915 8.915 3.585 Å, 90.00 90.00 90.00°
Space group P4/mbm (No. 127)
Unique sites:
1 Sr 0.000 0.000 0.000 x2
2 Ca 0.132 0.368 0.000 x4
3 Hg 0.164 0.664 0.500 x4

## Properties
For the calculated total energy, the calculation gives -361.368 eV for the cell shown. The density of states at the Fermi level is 0.65 states/eV/atom. The energy of formation comes out at -0.55 eV per atom. Its excess energy over the best structure of this formula in the dataset is 0.000 eV/atom.


4.
## SrCa2Hg (meta-GGA SCAN)

Data for a crystal of SrCa2Hg relaxed with PBEsol.

Cell: 3.877 3.877 9.375 Å, 90.00 90.00 90.00°
Space group P4mm (No. 99)
Unique sites:
1 Sr 0.000 0.000 0.000 x1
2 Ca 0.000 0.000 0.614 x1
3 Ca 0.500 0.500 0.323 x1
4 Hg 0.500 0.500 0.788 x1

## Properties
For the calculated total energy, the calculation gives -111.259 eV for the cell shown. The density of states at the Fermi level is 0.78 states/eV/atom. The energy of formation comes out at -0.37 eV per atom.


5.
## Sr2CaHg2 (meta-GGA SCAN)

Data for a crystal of Sr2CaHg2 relaxed with PBEsol.

Cell: 8.644 8.644 4.421 Å, 90.00 90.00 90.00°
Space group P4/mbm (No. 127)
Unique sites:
1 Sr 0.158 0.342 0.000 x4
2 Ca 0.000 0.000 0.500 x2
3 Hg 0.140 0.640 0.500 x4

## Properties
For the calculated total energy, the calculation gives -387.022 eV for the cell shown. The density of states at the Fermi level is 0.81 states/eV/atom. The energy of formation comes out at -0.59 eV per atom.


6.
## Sr2CaHg (meta-GGA SCAN)

Data for a crystal of Sr2CaHg relaxed with PBEsol.

Cell: 3.923 3.923 9.832 Å, 90.00 90.00 90.00°
Space group P4mm (No. 99)
Unique sites:
1 Sr 0.000 0.000 0.000 x1
2 Sr 0.500 0.500 0.333 x1
3 Ca 0.000 0.000 0.634 x1
4 Hg 0.500 0.500 0.799 x1

## Properties
For the calculated total energy, the calculation gives -123.839 eV for the cell shown. The density of states at the Fermi level is 0.75 states/eV/atom. The energy of formation comes out at -0.36 eV per atom.


7.
## SrCaHg2 (meta-GGA SCAN)

Data for a crystal of SrCaHg2 relaxed with PBEsol.

Cell: 7.631 7.631 7.631 Å, 90.00 90.00 90.00°
Space group Fm-3m (No. 225)
Unique sites:
1 Sr 0.000 0.000 0.000 x4
2 Ca 0.000 0.000 0.500 x4
3 Hg 0.250 0.250 0.250 x8

## Properties
For the calculated total energy, the calculation gives -684.218 eV for the cell shown. The density of states at the Fermi level is 0.58 states/eV/atom. The energy of formation comes out at -0.70 eV per atom. Its excess energy over the best structure of this formula in the dataset is 0.010 eV/atom.


8.
## CaTaHg (meta-GGA SCAN)

Data for a crystal of CaTaHg relaxed with PBEsol.

Cell: 4.9343 4.9343 3.1357 Å, 90.00 90.00 120.00°
Space group P-6m2 (No. 187)
Unique sites:
1 Ca 0.0000 0.0000 0.0000 x1
2 Ta 0.3333 0.6667 0.5000 x1
3 Hg 0.6667 0.3333 0.5000 x1

## Properties
For the calculated total energy, the calculation gives -143.017 eV for the cell shown. The density of states at the Fermi level is 0.72 states/eV/atom. The energy of formation comes out at 0.47 eV per atom.


9.
## CaTaHg2 (meta-GGA SCAN)

Data for a crystal of CaTaHg2 relaxed with PBEsol.

Cell: 4.157 4.157 9.839 Å, 90.00 90.00 90.00°
Space group I-4m2 (No. 119)
Unique sites:
1 Ca 0.000 0.000 0.000 x2
2 Ta 0.000 0.500 0.750 x2
3 Hg 0.000 0.000 0.500 x2
4 Hg 0.000 0.500 0.250 x2

## Properties
For the calculated total energy, the calculation gives -422.689 eV for the cell shown. The density of states at the Fermi level is 0.68 states/eV/atom. The energy of formation comes out at 0.31 eV per atom.


10.
## CaTaHg3 (meta-GGA SCAN)

Data for a crystal of CaTaHg3 relaxed with PBEsol.

Cell: 5.254 5.254 5.254 Å, 90.00 90.00 90.00°
Space group Pm-3m (No. 221)
Unique sites:
1 Ca 0.000 0.000 0.000 x1
2 Ta 0.500 0.500 0.500 x1
3 Hg 0.000 0.500 0.500 x3

## Properties
For the calculated total energy, the calculation gives -279.204 eV for the cell shown. The density of states at the Fermi level is 1.30 states/eV/atom. The energy of formation comes out at 0.31 eV per atom.


11.
## CaTaTi2Hg (meta-GGA SCAN)

Data for a crystal of CaTaTi2Hg relaxed with PBEsol.

Cell: 4.959 4.959 5.145 Å, 90.00 90.00 90.00°
Space group P4/mmm (No. 123)
Unique sites:
1 Ca 0.000 0.000 0.000 x1
2 Ta 0.500 0.500 0.000 x1
3 Ti 0.000 0.500 0.500 x2
4 Hg 0.000 0.000 0.500 x1

## Properties
For the calculated total energy, the calculation gives -169.823 eV for the cell shown. The density of states at the Fermi level is 1.36 states/eV/atom. The energy of formation comes out at 1.33 eV per atom.


12.
## CaTbHg2 (meta-GGA SCAN)

Data for a crystal of CaTbHg2 relaxed with PBEsol.

Cell: 7.348 7.348 7.348 Å, 90.00 90.00 90.00°
Space group Fm-3m (No. 225)
Unique sites:
1 Ca 0.000 0.000 0.000 x4
2 Tb 0.000 0.000 0.500 x4
3 Hg 0.250 0.250 0.250 x8

## Properties
For the calculated total energy, the calculation gives -782.807 eV for the cell shown. The density of states at the Fermi level is 0.52 states/eV/atom. The energy of formation comes out at -0.74 eV per atom.


13.
## Ca2TcHg (meta-GGA SCAN)

Data for a crystal of Ca2TcHg relaxed with PBEsol.

Cell: 4.568 4.568 8.417 Å, 90.00 90.00 90.00°
Space group I4/mmm (No. 139)
Unique sites:
1 Ca 0.000 0.500 0.250 x4
2 Tc 0.000 0.000 0.000 x2
3 Hg 0.000 0.000 0.500 x2

## Properties
For the calculated total energy, the calculation gives -243.309 eV for the cell shown. The density of states at the Fermi level is 0.53 states/eV/atom. The energy of formation comes out at 0.22 eV per atom.


14.
## CaTlTcHg2 (meta-GGA SCAN)

Data for a crystal of CaTlTcHg2 relaxed with PBEsol.

Cell: 5.396 5.396 5.679 Å, 90.00 90.00 90.00°
Space group P4/mmm (No. 123)
Unique sites:
1 Ca 0.000 0.000 0.000 x1
2 Tl 0.000 0.000 0.500 x1
3 Tc 0.500 0.500 0.500 x1
4 Hg 0.000 0.500 0.000 x2

## Properties
For the calculated total energy, the calculation gives -247.498 eV for the cell shown. The density of states at the Fermi level is 0.67 states/eV/atom. The energy of formation comes out at 1.18 eV per atom.


15.
## CaHgTe2 (meta-GGA SCAN)

Data for a crystal of CaHgTe2 relaxed with PBEsol.

Cell: 6.223 6.147 6.146 Å, 90.00 90.00 90.00°
Space group Amm2 (No. 38)
Unique sites:
1 Ca 0.000 0.000 0.000 x2
2 Hg 0.500 0.000 0.501 x2
3 Te 0.000 0.000 0.500 x2
4 Te 0.500 0.000 0.001 x2

## Properties
For the calculated total energy, the calculation gives -311.625 eV for the cell shown. The density of states at the Fermi level is 0.34 states/eV/atom.


16.
## CaHg4Te (meta-GGA SCAN)

Data for a crystal of CaHg4Te relaxed with PBEsol.

Cell: 8.523 8.523 8.523 Å, 90.00 90.00 90.00°
Space group F-43m (No. 216)
Unique sites:
1 Ca 0.000 0.000 0.000 x4
2 Hg 0.125 0.125 0.625 x16
3 Te 0.250 0.250 0.250 x4

## Properties
For the calculated total energy, the calculation gives -1284.622 eV for the cell shown. The density of states at the Fermi level is 0.28 states/eV/atom.


17.
## CaHgTe (meta-GGA SCAN)

Data for a crystal of CaHgTe relaxed with PBEsol.

Cell: 4.158 4.158 9.667 Å, 90.00 90.00 90.00°
Space group I4mm (No. 107)
Unique sites:
1 Ca 0.000 0.000 0.000 x2
2 Hg 0.000 0.000 0.678 x2
3 Te 0.000 0.000 0.346 x2

## Properties
For the calculated total energy, the calculation gives -235.612 eV for the cell shown. The density of states at the Fermi level is 0.01 states/eV/atom. Its excess energy over the best structure of this formula in the dataset is 0.079 eV/atom.


18.
## CaHgTe (meta-GGA SCAN)

Data for a crystal of CaHgTe relaxed with PBEsol.

Cell: 4.5191 4.5191 5.0856 Å, 90.00 90.00 120.00°
Space group P3m1 (No. 156)
Unique sites:
1 Ca 0.0000 0.0000 0.0000 x1
2 Hg 0.3333 0.6667 0.6608 x1
3 Te 0.6667 0.3333 0.3315 x1

## Properties
For the calculated total energy, the calculation gives -118.044 eV for the cell shown. Its excess energy over the best structure of this formula in the dataset is 0.000 eV/atom.


19.
## CaTlHg (meta-GGA SCAN)

Data for a crystal of CaTlHg relaxed with PBEsol.

Cell: 7.114 7.114 7.114 Å, 90.00 90.00 90.00°
Space group F-43m (No. 216)
Unique sites:
1 Ca 0.000 0.000 0.000 x4
2 Tl 0.250 0.250 0.750 x4
3 Hg 0.250 0.250 0.250 x4

## Properties
For the calculated total energy, the calculation gives -602.927 eV for the cell shown. The density of states at the Fermi level is 0.87 states/eV/atom. The energy of formation comes out at -0.18 eV per atom.


20.
## CaTlHg2 (meta-GGA SCAN)

Data for a crystal of CaTlHg2 relaxed with PBEsol.

Cell: 3.875 3.875 6.685 Å, 90.00 90.00 90.00°
Space group P4mm (No. 99)
Unique sites:
1 Ca 0.000 0.000 0.000 x1
2 Tl 0.500 0.500 0.716 x1
3 Hg 0.000 0.000 0.479 x1
4 Hg 0.500 0.500 0.242 x1

## Properties
For the calculated total energy, the calculation gives -219.730 eV for the cell shown. The density of states at the Fermi level is 0.54 states/eV/atom. The energy of formation comes out at -0.34 eV per atom.